First-principles (GGA-PBE) data for a relaxed CeThTe2 crystal, as listed in Alexandria via LeMat-Bulk.

Properties
ΔE_f (raw) (eV/f.u.): -4.6
SG: P4/mmm, No. 123
Electronic total energy (Ry per atom): -0.4461

Cell: 3.8567 3.8567 7.7056 Å, 90.00 90.00 90.00°
Last column: magnetic moment on the atom in μB.
Fractional coordinates of all 4 atoms:
Ce  0.5000  0.5000  0.5000  1.10
Te  0.0000  0.0000  0.7536  -0.02
Th  0.5000  0.5000  0.0000  0.03
Te  0.0000  0.0000  0.2464  -0.02